Entry 1:
Below is a geometry-optimized ScZnGa structure, with properties calculated at the PBE level.

## Properties
**Total moment**: 0.000 μB per atom
**Formation energy from the elements**: -0.42 eV/atom
**Raw total energy**: -23.79 eV for the cell shown
**Symmetry**: Amm2 (38)
**V**: 17.7 Å³ per atom

```
ScZnGa
1.0
-3.994 0.399 -0.991
0.505 -2.569 -3.072
-3.436 -4.678 3.347
Sc Zn Ga
2 2 2
Direct
0.746 0.766 0.795
0.434 0.766 0.423
0.926 0.267 0.437
0.087 0.767 0.114
0.259 0.266 0.770
0.590 0.266 0.110
```

Entry 2:
Below is a geometry-optimized Y3Tm2Pb4 structure, with properties calculated at the PBE level.

## Properties
**Total moment**: 0.000 μB per atom
**Formation energy from the elements**: -0.43 eV/atom
**Raw total energy**: -47.07 eV for the cell shown
**Symmetry**: C2/m (12)
**V**: 29.4 Å³ per atom

```
Y3Tm2Pb4
1.0
4.778 0.000 -1.336
-0.499 6.568 -1.787
-0.204 0.005 8.483
Y Pb Tm
3 4 2
Direct
0.115 0.589 0.231
0.885 0.411 0.769
0.000 0.000 0.000
0.756 0.698 0.512
0.490 0.717 0.979
0.244 0.302 0.488
0.510 0.283 0.021
0.330 0.937 0.659
0.670 0.063 0.341
```

Entry 3:
Below is a geometry-optimized CrCCl2 structure, with properties calculated at the PBE level.

## Properties
**Total moment**: 0.007 μB per atom
**Raw total energy**: -31.70 eV for the cell shown
**Energy above the lowest structure with this stoichiometry**: 484 meV/atom
**Uncorrected formation energy**: 1.673 eV/atom
**Symmetry**: I-42d (122)
**V**: 18.0 Å³ per atom

```
CrCCl2
1.0
-4.343 -3.705 0.036
1.820 -2.085 4.993
-3.763 0.058 4.659
C Cl Cr
2 4 2
Direct
0.500 0.500 0.000
0.250 0.750 0.500
0.875 0.907 0.750
0.093 0.625 0.250
0.657 0.125 0.250
0.375 0.343 0.750
0.000 0.000 0.000
0.750 0.250 0.500
```

Entry 4:
Below is a geometry-optimized TaAlC2 structure, with properties calculated at the PBE level.

## Properties
**Total moment**: 0.000 μB per atom
**Formation energy from the elements**: 0.04 eV/atom
**Raw total energy**: -67.73 eV for the cell shown
**Symmetry**: I-42d (122)
**V**: 13.4 Å³ per atom

```
TaAlC2
1.0
4.754 0.000 0.000
0.000 4.754 0.000
2.377 2.377 4.747
Al C Ta
2 4 2
Direct
0.500 0.500 0.000
0.250 0.750 0.500
0.875 0.874 0.750
0.126 0.625 0.250
0.624 0.125 0.250
0.375 0.376 0.750
0.000 0.000 0.000
0.750 0.250 0.500
```

Entry 5:
Below is a geometry-optimized Y4Tl2N structure, with properties calculated at the PBE level.

## Properties
**Total moment**: 0.000 μB per atom
**Raw total energy**: -43.99 eV for the cell shown
**Energy above the lowest structure with this stoichiometry**: 0 meV/atom
**Uncorrected formation energy**: -0.725 eV/atom
**Symmetry**: I4/mmm (139)
**V**: 25.6 Å³ per atom

```
Y4Tl2N
1.0
-1.625 2.563 -3.650
-3.961 0.955 2.434
0.643 8.266 2.431
Y Tl N
4 2 1
Direct
0.836 0.836 0.328
0.000 0.500 0.000
0.500 0.000 0.000
0.164 0.164 0.672
0.361 0.361 0.277
0.639 0.639 0.723
0.000 0.000 0.000
```

Entry 6:
Below is a geometry-optimized KMo6S8 structure, with properties calculated at the PBE level.

## Properties
**Total moment**: 0.000 μB per atom
**Raw total energy**: -110.68 eV for the cell shown
**Uncorrected formation energy**: -0.771 eV/atom
**Symmetry**: R-3 (148)
**V**: 19.5 Å³ per atom

```
KMo6S8
1.0
6.635 0.003 0.003
0.126 6.634 0.003
0.126 0.124 6.633
S K Mo
8 1 6
Direct
0.602 0.875 0.266
0.875 0.266 0.602
0.734 0.398 0.125
0.125 0.734 0.398
0.755 0.755 0.755
0.266 0.602 0.875
0.398 0.125 0.734
0.245 0.245 0.245
0.000 0.000 0.000
0.590 0.437 0.774
0.563 0.226 0.410
0.410 0.563 0.226
0.226 0.410 0.563
0.437 0.774 0.590
0.774 0.590 0.437
```

Entry 7:
Below is a geometry-optimized K12Cl5O3 structure, with properties calculated at the PBE level.

## Properties
**Total moment**: 0.000 μB per atom
**Raw total energy**: -254.12 eV for the cell shown
**Energy above the lowest structure with this stoichiometry**: 117 meV/atom
**Uncorrected formation energy**: -1.313 eV/atom
**Symmetry**: Ia-3d (230)
**V**: 39.4 Å³ per atom

```
K12Cl5O3
1.0
15.995 0.000 0.000
-5.332 15.081 0.000
-5.332 -7.540 13.060
K Cl O
48 20 12
Direct
0.497 0.365 0.804
0.193 0.632 0.497
0.804 0.939 0.807
0.997 0.693 0.632
0.632 0.439 0.135
0.635 0.132 0.439
0.693 0.696 0.061
0.061 0.865 0.868
0.807 0.368 0.503
0.868 0.365 0.061
0.307 0.003 0.868
0.368 0.561 0.865
0.865 0.804 0.997
0.135 0.196 0.003
0.807 0.439 0.804
0.003 0.696 0.135
0.132 0.497 0.693
0.868 0.503 0.307
0.439 0.807 0.304
0.939 0.135 0.132
0.635 0.503 0.696
0.439 0.632 0.635
0.561 0.193 0.696
0.693 0.997 0.132
0.132 0.635 0.939
0.196 0.061 0.193
0.365 0.497 0.304
0.696 0.003 0.635
0.503 0.868 0.807
0.997 0.304 0.865
0.696 0.693 0.561
0.135 0.939 0.632
0.632 0.193 0.997
0.497 0.132 0.193
0.304 0.307 0.439
0.939 0.804 0.307
0.193 0.561 0.196
0.307 0.304 0.939
0.368 0.807 0.003
0.365 0.868 0.561
0.865 0.061 0.368
0.304 0.997 0.365
0.503 0.635 0.196
0.196 0.135 0.503
0.061 0.196 0.693
0.003 0.307 0.368
0.561 0.368 0.365
0.804 0.865 0.497
0.000 0.500 0.000
0.125 0.375 0.250
0.000 0.500 0.500
0.875 0.250 0.625
0.500 0.000 0.000
0.000 0.000 0.500
0.500 0.500 0.500
0.375 0.125 0.750
0.875 0.625 0.750
0.125 0.750 0.375
0.000 0.000 0.000
0.750 0.625 0.375
0.500 0.000 0.500
0.500 0.500 0.000
0.625 0.875 0.250
0.750 0.125 0.875
0.625 0.750 0.875
0.250 0.875 0.125
0.375 0.250 0.125
0.250 0.375 0.625
0.750 0.375 0.125
0.875 0.125 0.250
0.250 0.625 0.875
0.375 0.625 0.250
0.125 0.875 0.750
0.625 0.375 0.750
0.875 0.750 0.125
0.125 0.250 0.875
0.250 0.125 0.375
0.750 0.875 0.625
0.375 0.750 0.625
0.625 0.250 0.375
```

Entry 8:
Below is a geometry-optimized La2CuSn2 structure, with properties calculated at the PBE level.

## Properties
**Total moment**: 0.000 μB per atom
**Formation energy from the elements**: -0.51 eV/atom
**Raw total energy**: -49.06 eV for the cell shown
**Energy above the lowest structure with this stoichiometry**: 142 meV/atom
**Symmetry**: P4/mbm (127)
**V**: 27.8 Å³ per atom

```
La2CuSn2
1.0
-0.441 5.306 -5.201
-1.594 -5.157 -5.125
-4.901 0.547 0.974
Sn La Cu
4 4 2
Direct
0.859 0.641 0.000
0.641 0.141 0.000
0.141 0.359 0.000
0.359 0.859 0.000
0.669 0.831 0.500
0.169 0.669 0.500
0.331 0.169 0.500
0.831 0.331 0.500
0.500 0.500 0.000
0.000 0.000 0.000
```

Q: What is the formula in the sixth record?
A: KMo6S8

Q: Which of these has the highest raw total energy?
A: ScZnGa

Q: The lowest raw total energy belongs to which entry?
A: K12Cl5O3